The following is a DFT calculation (GGA-PBE) of a relaxed YTaSn2O crystal.

Cell: 5.879 5.879 3.945 Å, 90.00 90.00 90.00°
Space group P4/mmm (No. 123)
Inequivalent atoms, fractional coordinates:
Y 0.000 0.000 0.000 [1 per cell]
Ta 0.500 0.500 0.500 [1 per cell]
Sn 0.000 0.500 0.000 [2 per cell]
O 0.000 0.000 0.500 [1 per cell]

Raw total energy (eV per atom): -5.857
Magnetization (μB/atom): 0.00